# 1
La3ErSb4: optimized geometry, PBE.

```
data_La3ErSb4
_chemical_formula_sum 'La6 Er2 Sb8'
_cell_length_a 7.892
_cell_length_b 9.131
_cell_length_c 7.901
_cell_angle_alpha 90.00
_cell_angle_beta 109.52
_cell_angle_gamma 90.00
_symmetry_space_group_name_H-M 'P 1'
_symmetry_Int_Tables_number 1
_symmetry_space_group_name_Hall 'P 1'
loop_
_atom_site_label
_atom_site_type_symbol
_atom_site_fract_x
_atom_site_fract_y
_atom_site_fract_z
La1 La 0.000 0.124 0.250
La2 La 0.000 0.373 0.750
La3 La 0.000 0.627 0.250
La4 La 0.000 0.876 0.750
La5 La 0.500 0.373 0.250
La6 La 0.500 0.627 0.750
Er1 Er 0.500 0.124 0.750
Er2 Er 0.500 0.876 0.250
Sb1 Sb 0.255 0.370 0.506
Sb2 Sb 0.255 0.630 0.006
Sb3 Sb 0.261 0.119 0.000
Sb4 Sb 0.261 0.881 0.500
Sb5 Sb 0.739 0.119 0.500
Sb6 Sb 0.739 0.881 0.000
Sb7 Sb 0.745 0.370 0.994
Sb8 Sb 0.745 0.630 0.494
```

Formation energy without anion corrections   -1219 meV/atom

---

# 2
LaErSbSe: optimized geometry, PBE.

```
data_LaErSbSe
_chemical_formula_sum 'La1 Er1 Sb1 Se1'
_cell_length_a 7.970
_cell_length_b 7.970
_cell_length_c 7.970
_cell_angle_alpha 30.76
_cell_angle_beta 30.76
_cell_angle_gamma 30.76
_symmetry_space_group_name_H-M 'P 1'
_symmetry_Int_Tables_number 1
_symmetry_space_group_name_Hall 'P 1'
loop_
_atom_site_label
_atom_site_type_symbol
_atom_site_fract_x
_atom_site_fract_y
_atom_site_fract_z
La1 La 0.000 0.000 0.000
Er1 Er 0.167 0.167 0.167
Sb1 Sb 0.577 0.577 0.577
Se1 Se 0.758 0.758 0.758
```

Formation energy without anion corrections   -1431 meV/atom

---

# 3
LaSmEr2Sb4: optimized geometry, PBE.

```
data_LaSmEr2Sb4
_chemical_formula_sum 'La1 Sm1 Er2 Sb4'
_cell_length_a 7.698
_cell_length_b 4.460
_cell_length_c 7.717
_cell_angle_alpha 90.00
_cell_angle_beta 109.52
_cell_angle_gamma 90.00
_symmetry_space_group_name_H-M 'P 1'
_symmetry_Int_Tables_number 1
_symmetry_space_group_name_Hall 'P 1'
loop_
_atom_site_label
_atom_site_type_symbol
_atom_site_fract_x
_atom_site_fract_y
_atom_site_fract_z
La1 La 0.000 0.000 0.000
Sm1 Sm 0.000 0.500 0.500
Er1 Er 0.500 0.000 0.500
Er2 Er 0.500 0.500 0.000
Sb1 Sb 0.260 0.000 0.750
Sb2 Sb 0.263 0.500 0.258
Sb3 Sb 0.737 0.500 0.742
Sb4 Sb 0.740 0.000 0.250
```

Formation energy without anion corrections   -1154 meV/atom

---

# 4
LaTbEr2Sb4: optimized geometry, PBE.

```
data_LaTbEr2Sb4
_chemical_formula_sum 'La1 Tb1 Er2 Sb4'
_cell_length_a 7.685
_cell_length_b 7.685
_cell_length_c 7.685
_cell_angle_alpha 131.78
_cell_angle_beta 131.78
_cell_angle_gamma 70.58
_symmetry_space_group_name_H-M 'P 1'
_symmetry_Int_Tables_number 1
_symmetry_space_group_name_Hall 'P 1'
loop_
_atom_site_label
_atom_site_type_symbol
_atom_site_fract_x
_atom_site_fract_y
_atom_site_fract_z
La1 La 0.000 0.000 0.000
Tb1 Tb 0.500 0.500 0.000
Er1 Er 0.250 0.750 0.500
Er2 Er 0.750 0.250 0.500
Sb1 Sb 0.000 0.500 0.500
Sb2 Sb 0.254 0.254 0.000
Sb3 Sb 0.500 0.000 0.500
Sb4 Sb 0.746 0.746 0.000
```

Formation energy without anion corrections   -1130 meV/atom

---

# 5
La3Tb2ErSb6: optimized geometry, PBE.

```
data_La3Tb2ErSb6
_chemical_formula_sum 'La3 Tb2 Er1 Sb6'
_cell_length_a 7.816
_cell_length_b 7.816
_cell_length_c 7.790
_cell_angle_alpha 99.62
_cell_angle_beta 99.62
_cell_angle_gamma 119.99
_symmetry_space_group_name_H-M 'P 1'
_symmetry_Int_Tables_number 1
_symmetry_space_group_name_Hall 'P 1'
loop_
_atom_site_label
_atom_site_type_symbol
_atom_site_fract_x
_atom_site_fract_y
_atom_site_fract_z
La1 La 0.000 0.000 0.000
La2 La 0.333 0.667 0.000
La3 La 0.667 0.333 0.000
Tb1 Tb 0.166 0.834 0.500
Tb2 Tb 0.834 0.166 0.500
Er1 Er 0.500 0.500 0.500
Sb1 Sb 0.090 0.421 0.264
Sb2 Sb 0.248 0.248 0.737
Sb3 Sb 0.421 0.090 0.264
Sb4 Sb 0.579 0.910 0.736
Sb5 Sb 0.752 0.752 0.263
Sb6 Sb 0.910 0.579 0.736
```

Formation energy without anion corrections   -1199 meV/atom

---

# 6
LaErSbTe: optimized geometry, PBE.

```
data_LaErSbTe
_chemical_formula_sum 'La1 Er1 Sb1 Te1'
_cell_length_a 7.756
_cell_length_b 7.756
_cell_length_c 7.756
_cell_angle_alpha 33.51
_cell_angle_beta 33.51
_cell_angle_gamma 33.51
_symmetry_space_group_name_H-M 'P 1'
_symmetry_Int_Tables_number 1
_symmetry_space_group_name_Hall 'P 1'
loop_
_atom_site_label
_atom_site_type_symbol
_atom_site_fract_x
_atom_site_fract_y
_atom_site_fract_z
La1 La 0.000 0.000 0.000
Er1 Er 0.494 0.494 0.494
Sb1 Sb 0.753 0.753 0.753
Te1 Te 0.241 0.241 0.241
```

Formation energy without anion corrections   -1338 meV/atom

---

# 7
La3ErTm2Sb6: optimized geometry, PBE.

```
data_La3ErTm2Sb6
_chemical_formula_sum 'La3 Er1 Tm2 Sb6'
_cell_length_a 7.785
_cell_length_b 7.785
_cell_length_c 7.741
_cell_angle_alpha 99.64
_cell_angle_beta 99.64
_cell_angle_gamma 119.99
_symmetry_space_group_name_H-M 'P 1'
_symmetry_Int_Tables_number 1
_symmetry_space_group_name_Hall 'P 1'
loop_
_atom_site_label
_atom_site_type_symbol
_atom_site_fract_x
_atom_site_fract_y
_atom_site_fract_z
La1 La 0.000 0.000 0.000
La2 La 0.334 0.666 0.000
La3 La 0.666 0.334 0.000
Er1 Er 0.500 0.500 0.500
Tm1 Tm 0.167 0.833 0.500
Tm2 Tm 0.833 0.167 0.500
Sb1 Sb 0.088 0.422 0.266
Sb2 Sb 0.244 0.244 0.733
Sb3 Sb 0.422 0.088 0.266
Sb4 Sb 0.578 0.912 0.734
Sb5 Sb 0.756 0.756 0.267
Sb6 Sb 0.912 0.578 0.734
```

Formation energy without anion corrections   -1170 meV/atom

---

# 8
La2ErTmSb4: optimized geometry, PBE.

```
data_La2ErTmSb4
_chemical_formula_sum 'La2 Er1 Tm1 Sb4'
_cell_length_a 7.744
_cell_length_b 4.497
_cell_length_c 7.782
_cell_angle_alpha 90.00
_cell_angle_beta 109.57
_cell_angle_gamma 90.00
_symmetry_space_group_name_H-M 'P 1'
_symmetry_Int_Tables_number 1
_symmetry_space_group_name_Hall 'P 1'
loop_
_atom_site_label
_atom_site_type_symbol
_atom_site_fract_x
_atom_site_fract_y
_atom_site_fract_z
La1 La 0.000 0.000 0.000
La2 La 0.000 0.500 0.500
Er1 Er 0.500 0.000 0.500
Tm1 Tm 0.500 0.500 0.000
Sb1 Sb 0.266 0.000 0.756
Sb2 Sb 0.266 0.500 0.255
Sb3 Sb 0.734 0.000 0.244
Sb4 Sb 0.734 0.500 0.745
```

Formation energy without anion corrections   -1173 meV/atom

---

# 9
LaEr3Sc6: optimized geometry, PBE.

```
data_LaEr3Sc6
_chemical_formula_sum 'La2 Er6 Sc12'
_cell_length_a 9.296
_cell_length_b 9.296
_cell_length_c 6.585
_cell_angle_alpha 90.00
_cell_angle_beta 90.00
_cell_angle_gamma 96.19
_symmetry_space_group_name_H-M 'P 1'
_symmetry_Int_Tables_number 1
_symmetry_space_group_name_Hall 'P 1'
loop_
_atom_site_label
_atom_site_type_symbol
_atom_site_fract_x
_atom_site_fract_y
_atom_site_fract_z
La1 La 0.188 0.812 0.500
La2 La 0.812 0.188 0.000
Er1 Er 0.174 0.257 0.546
Er2 Er 0.257 0.174 0.046
Er3 Er 0.410 0.590 0.334
Er4 Er 0.590 0.410 0.834
Er5 Er 0.743 0.826 0.546
Er6 Er 0.826 0.743 0.046
Sc1 Sc 0.006 0.994 0.782
Sc2 Sc 0.048 0.474 0.221
Sc3 Sc 0.203 0.797 0.015
Sc4 Sc 0.268 0.503 0.855
Sc5 Sc 0.474 0.048 0.721
Sc6 Sc 0.497 0.732 0.855
Sc7 Sc 0.503 0.268 0.355
Sc8 Sc 0.526 0.952 0.221
Sc9 Sc 0.732 0.497 0.355
Sc10 Sc 0.797 0.203 0.515
Sc11 Sc 0.952 0.526 0.721
Sc12 Sc 0.994 0.006 0.282
```

Formation energy   0.21 eV per atom

---

# 10
La5ErSc: optimized geometry, PBE.

```
data_La5ErSc
_chemical_formula_sum 'La5 Er1 Sc1'
_cell_length_a 5.788
_cell_length_b 6.423
_cell_length_c 6.904
_cell_angle_alpha 98.25
_cell_angle_beta 90.11
_cell_angle_gamma 90.13
_symmetry_space_group_name_H-M 'P 1'
_symmetry_Int_Tables_number 1
_symmetry_space_group_name_Hall 'P 1'
loop_
_atom_site_label
_atom_site_type_symbol
_atom_site_fract_x
_atom_site_fract_y
_atom_site_fract_z
La1 La 0.000 0.000 0.000
La2 La 0.001 0.531 0.253
La3 La 0.499 0.773 0.598
La4 La 0.501 0.227 0.402
La5 La 0.999 0.469 0.747
Er1 Er 0.000 0.000 0.500
Sc1 Sc 0.500 0.500 0.000
```

Formation energy   0.28 eV per atom

---

# 11
La2Er8Sc: optimized geometry, PBE.

```
data_La2Er8Sc
_chemical_formula_sum 'La2 Er8 Sc1'
_cell_length_a 9.348
_cell_length_b 9.348
_cell_length_c 7.895
_cell_angle_alpha 104.69
_cell_angle_beta 104.69
_cell_angle_gamma 30.98
_symmetry_space_group_name_H-M 'P 1'
_symmetry_Int_Tables_number 1
_symmetry_space_group_name_Hall 'P 1'
loop_
_atom_site_label
_atom_site_type_symbol
_atom_site_fract_x
_atom_site_fract_y
_atom_site_fract_z
La1 La 0.226 0.226 0.137
La2 La 0.774 0.774 0.863
Er1 Er 0.043 0.043 0.230
Er2 Er 0.132 0.132 0.672
Er3 Er 0.321 0.321 0.593
Er4 Er 0.412 0.412 0.052
Er5 Er 0.588 0.588 0.948
Er6 Er 0.679 0.679 0.407
Er7 Er 0.868 0.868 0.328
Er8 Er 0.957 0.957 0.770
Sc1 Sc 0.500 0.500 0.500
```

Formation energy   0.04 eV per atom

---

# 12
La4Er6Sc: optimized geometry, PBE.

```
data_La4Er6Sc
_chemical_formula_sum 'La4 Er6 Sc1'
_cell_length_a 9.684
_cell_length_b 9.684
_cell_length_c 9.684
_cell_angle_alpha 139.72
_cell_angle_beta 139.72
_cell_angle_gamma 58.28
_symmetry_space_group_name_H-M 'P 1'
_symmetry_Int_Tables_number 1
_symmetry_space_group_name_Hall 'P 1'
loop_
_atom_site_label
_atom_site_type_symbol
_atom_site_fract_x
_atom_site_fract_y
_atom_site_fract_z
La1 La 0.011 0.637 0.000
La2 La 0.363 0.363 0.375
La3 La 0.637 0.011 0.000
La4 La 0.989 0.989 0.625
Er1 Er 0.000 0.500 0.500
Er2 Er 0.206 0.206 0.649
Er3 Er 0.443 0.794 0.000
Er4 Er 0.500 0.000 0.500
Er5 Er 0.557 0.557 0.351
Er6 Er 0.794 0.443 0.000
Sc1 Sc 0.000 0.000 0.000
```

Formation energy   0.29 eV per atom